! CdP2O6 | the Alexandria database | SCAN | PBEsol geometry; values from VASP
! **Spin magnetization**: 0.000 μB per atom
! **N(E_F)**: 0.00 states/eV per cell
! **Raw formation energy**: -2.22 eV per atom
! **Theoretical density**: 3.637 g/cm³
! **VASP energy**: -434.23 eV for the cell shown
&SYSTEM
  ibrav = 0, nat = 36, ntyp = 3
/
ATOMIC_SPECIES
Cd 112.41 Cd.upf
P 30.97 P.upf
O 16.00 O.upf
ATOMIC_POSITIONS angstrom
Cd 0.523 2.164 4.562
Cd 2.348 4.007 6.842
Cd 3.126 -2.164 0.000
Cd 4.951 -4.007 2.281
P 6.048 2.004 0.198
P 3.855 2.004 4.364
P -0.339 0.012 7.393
P 2.264 -0.012 2.831
P 5.034 0.012 6.292
P 7.638 -0.012 1.730
P 3.444 -2.004 4.759
P 1.251 -2.004 8.926
O 5.276 3.163 0.698
O 0.888 0.612 2.968
O 4.626 3.163 3.864
O 2.692 2.231 5.315
O -0.013 0.669 6.112
O -0.205 0.985 8.657
O -1.715 -0.612 7.530
O 3.351 1.142 3.099
O 2.003 2.231 8.370
O 2.591 -0.669 1.551
O 6.551 1.142 1.463
O 2.398 -0.985 4.095
O 4.900 0.985 5.028
O 0.748 -1.142 7.661
O 4.708 0.669 7.573
O 5.296 -2.231 0.753
O 3.947 -1.142 6.024
O 9.014 0.612 1.593
O 7.504 -0.985 0.467
O 7.311 -0.669 3.011
O 4.606 -2.231 3.809
O 2.673 -3.163 5.259
O 6.410 -0.612 6.155
O 2.023 -3.163 8.426
CELL_PARAMETERS angstrom
6.253 -4.327 0.000
6.253 4.327 0.000
-5.207 0.000 9.123



! Li3ZnCl | the Alexandria database | SCAN | PBEsol geometry; values from VASP
! **Spin magnetization**: 0.000 μB per atom
! **N(E_F)**: 2.72 states/eV per cell
! **Raw formation energy**: -0.56 eV per atom
! **Theoretical density**: 2.116 g/cm³
! **VASP energy**: -31.49 eV for the cell shown
&SYSTEM
  ibrav = 0, nat = 5, ntyp = 3
/
ATOMIC_SPECIES
Li 6.94 Li.upf
Zn 65.41 Zn.upf
Cl 35.45 Cl.upf
ATOMIC_POSITIONS angstrom
Li 0.000 0.000 2.285
Li 0.000 2.285 0.000
Li 2.285 0.000 0.000
Zn 2.285 2.285 2.285
Cl 0.000 0.000 0.000
CELL_PARAMETERS angstrom
4.571 0.000 0.000
0.000 4.571 0.000
0.000 0.000 4.571



! GaSnIr2N | the Alexandria database | SCAN | PBEsol geometry; values from VASP
! **Spin magnetization**: 0.725 μB per atom
! **N(E_F)**: 3.08 states/eV per cell
! **Raw formation energy**: 2.12 eV per atom
! **Theoretical density**: 9.223 g/cm³
! **VASP energy**: -193.14 eV for the cell shown
&SYSTEM
  ibrav = 0, nat = 5, ntyp = 4
/
ATOMIC_SPECIES
Ga 69.72 Ga.upf
Sn 118.71 Sn.upf
Ir 192.22 Ir.upf
N 14.01 N.upf
ATOMIC_POSITIONS angstrom
Ga 0.000 0.000 0.000
Sn 0.000 0.000 2.587
Ir 0.000 2.260 0.000
Ir 2.260 0.000 0.000
N 2.260 2.260 2.587
CELL_PARAMETERS angstrom
4.519 0.000 0.000
0.000 4.519 0.000
0.000 0.000 5.173



! Rb2WAu | the Alexandria database | SCAN | PBEsol geometry; values from VASP
! **Spin magnetization**: 1.262 μB per atom
! **N(E_F)**: 0.20 states/eV per cell
! **Formation energy from the elements**: 1482 meV per atom
! **Theoretical density**: 6.672 g/cm³
! **VASP energy**: -174.39 eV for the cell shown
&SYSTEM
  ibrav = 0, nat = 4, ntyp = 3
/
ATOMIC_SPECIES
Rb 85.47 Rb.upf
W 183.84 W.upf
Au 196.97 Au.upf
ATOMIC_POSITIONS angstrom
Rb 2.047 2.047 2.047
Rb 6.142 6.142 6.142
W 0.000 0.000 0.000
Au 4.095 4.095 4.095
CELL_PARAMETERS angstrom
0.000 4.095 4.095
4.095 0.000 4.095
4.095 4.095 0.000



! NiCSe2N | the Alexandria database | SCAN | PBEsol geometry; values from VASP
! **Spin magnetization**: 0.220 μB per atom
! **N(E_F)**: 1.79 states/eV per cell
! **Raw formation energy**: 0.94 eV per atom
! **Theoretical density**: 5.594 g/cm³
! **VASP energy**: -71.01 eV for the cell shown
&SYSTEM
  ibrav = 0, nat = 5, ntyp = 4
/
ATOMIC_SPECIES
Ni 58.69 Ni.upf
C 12.01 C.upf
Se 78.96 Se.upf
N 14.01 N.upf
ATOMIC_POSITIONS angstrom
Ni 0.000 0.000 0.000
C 2.692 2.692 1.243
Se 0.000 2.692 1.243
Se 2.692 0.000 1.243
N 2.692 2.692 0.000
CELL_PARAMETERS angstrom
5.383 0.000 0.000
0.000 5.383 0.000
0.000 0.000 2.485



! LaGe2Cl | the Alexandria database | SCAN | PBEsol geometry; values from VASP
! **Spin magnetization**: 0.000 μB per atom
! **N(E_F)**: 2.04 states/eV per cell
! **Raw formation energy**: -0.14 eV per atom
! **Theoretical density**: 5.765 g/cm³
! **VASP energy**: -89.81 eV for the cell shown
&SYSTEM
  ibrav = 0, nat = 4, ntyp = 3
/
ATOMIC_SPECIES
La 138.91 La.upf
Ge 72.64 Ge.upf
Cl 35.45 Cl.upf
ATOMIC_POSITIONS angstrom
La 0.000 0.000 0.000
Ge 1.792 1.792 1.792
Ge 5.376 5.376 5.376
Cl 3.584 3.584 3.584
CELL_PARAMETERS angstrom
0.000 3.584 3.584
3.584 0.000 3.584
3.584 3.584 0.000



! Cd2HgAu | the Alexandria database | SCAN | PBEsol geometry; values from VASP
! **Spin magnetization**: 0.000 μB per atom
! **N(E_F)**: 1.17 states/eV per cell
! **Energy above the lowest structure with this stoichiometry**: 29 meV/atom
! **Formation energy from the elements**: -78 meV per atom
! **Theoretical density**: 13.040 g/cm³
! **VASP energy**: -198.46 eV for the cell shown
&SYSTEM
  ibrav = 0, nat = 4, ntyp = 3
/
ATOMIC_SPECIES
Cd 112.41 Cd.upf
Hg 200.59 Hg.upf
Au 196.97 Au.upf
ATOMIC_POSITIONS angstrom
Cd 0.000 0.000 0.000
Cd 1.581 0.000 3.421
Hg 7.001 0.000 1.131
Au 4.304 0.000 2.420
CELL_PARAMETERS angstrom
4.815 -1.741 0.000
4.815 1.741 0.000
-1.077 0.000 4.726



! TaTlP2S | the Alexandria database | SCAN | PBEsol geometry; values from VASP
! **Spin magnetization**: 0.000 μB per atom
! **N(E_F)**: 2.78 states/eV per cell
! **Energy above the lowest structure with this stoichiometry**: 0 meV/atom
! **Raw formation energy**: -0.04 eV per atom
! **Theoretical density**: 7.116 g/cm³
! **VASP energy**: -169.56 eV for the cell shown
&SYSTEM
  ibrav = 0, nat = 5, ntyp = 4
/
ATOMIC_SPECIES
Ta 180.95 Ta.upf
Tl 204.38 Tl.upf
P 30.97 P.upf
S 32.06 S.upf
ATOMIC_POSITIONS angstrom
Ta 0.000 0.000 0.000
Tl 2.427 2.427 2.374
P 0.000 2.427 0.000
P 2.427 0.000 0.000
S 0.000 0.000 2.374
CELL_PARAMETERS angstrom
4.854 0.000 0.000
0.000 4.854 0.000
0.000 0.000 4.748



! NaCu3O2 | the Alexandria database | SCAN | PBEsol geometry; values from VASP
! **Spin magnetization**: 0.000 μB per atom
! **Raw formation energy**: -0.78 eV per atom
! **Theoretical density**: 5.459 g/cm³
! **VASP energy**: -133.88 eV for the cell shown
&SYSTEM
  ibrav = 0, nat = 12, ntyp = 3
/
ATOMIC_SPECIES
Na 22.99 Na.upf
Cu 63.55 Cu.upf
O 16.00 O.upf
ATOMIC_POSITIONS angstrom
Na 0.000 0.000 1.363
Na 0.000 0.000 4.090
Cu 1.440 2.379 -1.363
Cu 1.440 -2.379 1.363
Cu 2.880 0.000 0.000
Cu -1.440 2.379 1.363
Cu 0.000 4.757 0.000
Cu 1.440 2.379 1.363
O 1.401 1.139 0.000
O 1.401 -1.139 2.727
O 1.479 5.896 0.000
O 1.479 3.619 2.727
CELL_PARAMETERS angstrom
-2.880 4.757 2.727
2.880 -4.757 2.727
2.880 4.757 -2.727



! LiTa2Pt | the Alexandria database | SCAN | PBEsol geometry; values from VASP
! **Spin magnetization**: 0.000 μB per atom
! **N(E_F)**: 3.67 states/eV per cell
! **Formation energy from the elements**: -68 meV per atom
! **Theoretical density**: 14.160 g/cm³
! **VASP energy**: -206.02 eV for the cell shown
&SYSTEM
  ibrav = 0, nat = 4, ntyp = 3
/
ATOMIC_SPECIES
Li 6.94 Li.upf
Ta 180.95 Ta.upf
Pt 195.08 Pt.upf
ATOMIC_POSITIONS angstrom
Li 0.000 0.000 0.000
Ta 0.000 0.000 14.805
Ta 0.000 0.000 21.843
Pt 0.000 0.000 7.426
CELL_PARAMETERS angstrom
1.409 0.814 9.615
-1.409 0.814 9.615
0.000 -1.627 9.615



- Which value of VASP energy does entry 9 give?
  -133.88 eV for the cell shown



- Which formula does entry 3 have?
  GaSnIr2N



- What is the spin magnetization in the third record?
  0.725 μB per atom